# 1
Compound: BaEuZn2
Source: the Alexandria database
Functional: PBE
Structure: relaxed

Relative energy among the computed polymorphs, eV per atom: 0.025

a b c (Å): 7.8980 7.8980 7.8980
angles (deg): 90.00 90.00 90.00
With the nearest neighbours (Å) after each atom.
Space group Fm-3m (No. 225)
Symmetry-distinct sites (fractional):
Ba (0.0000, 0.0000, 0.0000) (multiplicity 4)  8 Zn 3.42
Eu (0.0000, 0.0000, 0.5000) (multiplicity 4)  8 Zn 3.42
Zn (0.2500, 0.2500, 0.2500) (multiplicity 8)  4 Ba 3.42, 4 Eu 3.42



# 2
Compound: SrGe2Rh2
Source: the Alexandria database
Functional: PBE
Structure: relaxed

Raw total energy, eV for the cell shown: -54.8

a b c (Å): 7.7580 7.7580 2.9664
angles (deg): 90.00 90.00 90.00
With the nearest neighbours (Å) after each atom.
Space group P4/mbm (No. 127)
Symmetry-distinct sites (fractional):
Sr (0.0000, 0.0000, 0.0000) (multiplicity 2)  2 Sr 2.97, 4 Rh 3.02, 8 Ge 3.30
Ge (0.1513, 0.3487, 0.5000) (multiplicity 4)  6 Rh 2.67-2.78, 2 Ge 2.97
Rh (0.1344, 0.6344, 0.0000) (multiplicity 4)  6 Ge 2.67-2.78, 3 Rh 2.95-2.97



# 3
Compound: CdIn6Ga12
Source: the Alexandria database
Functional: PBE
Structure: relaxed

Raw total energy, eV for the cell shown: -154.1

a b c (Å): 14.7740 14.7740 7.3355
angles (deg): 90.00 90.00 120.00
With the nearest neighbours (Å) after each atom.
Space group R-3 (No. 148, hexagonal axes)
Symmetry-distinct sites (fractional):
Cd (0.0000, 0.0000, 0.0000) (multiplicity 3)  12 Ga 2.88-3.03
In (0.0648, 0.5424, 0.2916) (multiplicity 18)  6 Ga 2.85-3.18
Ga (0.0052, 0.7974, 0.0050) (multiplicity 18)  4 Ga 2.83-3.03, 2 In 2.90-2.93, 1 Cd 3.03
Ga (0.0633, 0.9287, 0.3144) (multiplicity 18)  4 Ga 2.83-2.99, 3 In 2.85-3.02, 1 Cd 2.88



# 4
Compound: Al2ZnNi
Source: the Alexandria database
Functional: PBE
Structure: relaxed

Raw total energy, eV for the cell shown: -30.7

a b c (Å): 5.4035 7.0816 2.8770
angles (deg): 90.00 90.00 90.00
With the nearest neighbours (Å) after each atom.
Space group Cmmm (No. 65)
Symmetry-distinct sites (fractional):
Al (0.2500, 0.2500, 0.0000) (multiplicity 4)  4 Ni 2.65, 4 Zn 2.65, 4 Al 2.70-2.88
Zn (0.0000, 0.0000, 0.5000) (multiplicity 2)  8 Al 2.65, 2 Ni 2.70, 2 Zn 2.88
Ni (0.0000, 0.5000, 0.5000) (multiplicity 2)  8 Al 2.65, 2 Zn 2.70, 2 Ni 2.88



# 5
Compound: Mg4Cd3Ag
Source: the Alexandria database
Functional: PBE
Structure: relaxed

Raw total energy, eV for the cell shown: -13.1

a b c (Å): 3.3046 3.3046 15.2605
angles (deg): 90.00 90.00 90.00
With the nearest neighbours (Å) after each atom.
Space group P4/mmm (No. 123)
Symmetry-distinct sites (fractional):
Mg (0.0000, 0.0000, 0.1090) (multiplicity 2)  4 Ag 2.87, 4 Cd 3.07
Mg (0.0000, 0.0000, 0.3690) (multiplicity 2)  8 Cd 3.06-3.08, 4 Mg 3.30
Cd (0.5000, 0.5000, 0.2392) (multiplicity 2)  8 Mg 3.06-3.07, 4 Cd 3.30
Cd (0.5000, 0.5000, 0.5000) (multiplicity 1)  8 Mg 3.08, 4 Cd 3.30
Ag (0.5000, 0.5000, 0.0000) (multiplicity 1)  8 Mg 2.87



# 6
Compound: LiAcCu2Sb2
Source: the Alexandria database
Functional: PBE
Structure: relaxed

Uncorrected formation energy, eV/f.u.: -3.46

a b c (Å): 4.5041 4.5041 7.5985
angles (deg): 90.00 90.00 120.00
With the nearest neighbours (Å) after each atom.
Space group P-3m1 (No. 164)
Symmetry-distinct sites (fractional):
Li (0.0000, 0.0000, 0.0000) (multiplicity 1)  6 Cu 2.88, 6 Sb 3.09
Ac (0.0000, 0.0000, 0.5000) (multiplicity 1)  6 Sb 3.36, 6 Cu 3.65
Cu (0.3333, 0.6667, 0.1632) (multiplicity 2)  4 Sb 2.64-2.91, 3 Li 2.88
Sb (0.3333, 0.6667, 0.7803) (multiplicity 2)  4 Cu 2.64-2.91



# 7
Compound: Pa2B3C
Source: the Alexandria database
Functional: PBE
Structure: relaxed

Relative energy among the computed polymorphs, eV per atom: 0.011

a b c (Å): 3.0874 4.1356 5.3736
angles (deg): 90.00 90.00 90.00
With the nearest neighbours (Å) after each atom.
Space group Pmm2 (No. 25)
Symmetry-distinct sites (fractional):
Pa (0.0000, 0.0000, 0.0000) (multiplicity 1)  10 B 2.74-2.77, 2 C 2.75
Pa (0.5000, 0.0000, 0.4993) (multiplicity 1)  8 B 2.71-2.73, 4 C 2.73
B (0.0000, 0.5000, 0.3418) (multiplicity 1)  1 C 1.72, 2 B 1.80
B (0.5000, 0.5000, 0.1688) (multiplicity 1)  3 B 1.80-1.84
B (0.5000, 0.5000, 0.8257) (multiplicity 1)  2 C 1.78, 1 B 1.84
C (0.0000, 0.5000, 0.6627) (multiplicity 1)  3 B 1.72-1.78



# 8
Compound: ReMoS2Cl
Source: the Alexandria database
Functional: PBE
Structure: relaxed

Relative energy among the computed polymorphs, eV per atom: 0.177
Uncorrected formation energy, eV/f.u.: 5.03

a b c (Å): 4.6948 4.6948 4.9157
angles (deg): 90.00 90.00 90.00
With the nearest neighbours (Å) after each atom.
Space group P4/mmm (No. 123)
Symmetry-distinct sites (fractional):
Re (0.0000, 0.0000, 0.0000) (multiplicity 1)  4 Cl 3.32, 8 S 3.40
Mo (0.5000, 0.5000, 0.5000) (multiplicity 1)  4 S 2.35, 2 Cl 2.46
S (0.0000, 0.5000, 0.5000) (multiplicity 2)  2 Mo 2.35
Cl (0.5000, 0.5000, 0.0000) (multiplicity 1)  2 Mo 2.46



# 9
Compound: Cr2Pt
Source: the Alexandria database
Functional: PBE
Structure: relaxed

Raw total energy, eV for the cell shown: -99.4

a b c (Å): 5.8009 5.8009 5.0263
angles (deg): 90.00 90.00 90.00
With the nearest neighbours (Å) after each atom.
Space group I4/mcm (No. 140)
Symmetry-distinct sites (fractional):
Cr (0.1263, 0.3737, 0.0000) (multiplicity 8)  1 Cr 2.07
Pt (0.0000, 0.0000, 0.2500) (multiplicity 4)  2 Pt 2.51, 8 Cr 2.61



# 10
Compound: Sc4CO4
Source: the Alexandria database
Functional: PBE
Structure: relaxed

Uncorrected formation energy, eV/f.u.: -20.57

a b c (Å): 5.2457 5.2457 9.4296
angles (deg): 90.00 90.00 90.00
With the nearest neighbours (Å) after each atom.
Space group I-42m (No. 121)
Symmetry-distinct sites (fractional):
Sc (0.2193, 0.2193, 0.1149) (multiplicity 8)  1 C 1.95, 2 O 2.16
C (0.0000, 0.0000, 0.0000) (multiplicity 2)  4 Sc 1.95
O (0.0000, 0.0000, 0.2861) (multiplicity 4)  4 Sc 2.28-2.29
O (0.0000, 0.5000, 0.0000) (multiplicity 4)  4 Sc 2.16



# 11
Compound: Ca3Si2Au
Source: the Alexandria database
Functional: PBE
Structure: relaxed

Uncorrected formation energy, eV/f.u.: -3.30

a b c (Å): 5.8721 10.8870 9.9309
angles (deg): 90.00 105.93 90.00
With the nearest neighbours (Å) after each atom.
Space group P2_1/c (No. 14)
Symmetry-distinct sites (fractional):
Ca (0.1667, 0.2311, 0.3439) (multiplicity 4)  4 Si 2.94-3.13, 2 Au 3.20-3.23
Ca (0.2280, 0.6036, 0.9731) (multiplicity 4)  4 Si 2.95-3.12, 2 Au 3.13-3.20
Ca (0.3039, 0.5395, 0.6070) (multiplicity 4)  4 Si 3.08-3.23, 2 Au 3.18-3.32
Si (0.1559, 0.5068, 0.2802) (multiplicity 4)  1 Si 2.49, 1 Au 2.52
Si (0.3203, 0.1299, 0.6295) (multiplicity 4)  1 Au 2.48, 1 Si 2.49
Au (0.3917, 0.7009, 0.2888) (multiplicity 4)  2 Si 2.48-2.52



# 12
Compound: PaVW
Source: the Alexandria database
Functional: PBE
Structure: relaxed

Relative energy among the computed polymorphs, eV per atom: 0.029

a b c (Å): 3.1597 3.1597 11.1739
angles (deg): 90.00 90.00 90.00
With the nearest neighbours (Å) after each atom.
Space group I4mm (No. 107)
Symmetry-distinct sites (fractional):
Pa (0.0000, 0.0000, 0.0000) (multiplicity 2)  4 W 3.08, 4 V 3.09, 4 Pa 3.16
V (0.0000, 0.0000, 0.6912) (multiplicity 2)  4 W 2.60
W (0.0000, 0.0000, 0.3104) (multiplicity 2)  4 V 2.60



# 13
Compound: La2GeSe
Source: the Alexandria database
Functional: PBE
Structure: relaxed

Relative energy among the computed polymorphs, eV per atom: 0.109
Uncorrected formation energy, eV/f.u.: -5.42

a b c (Å): 4.3243 4.3243 22.5695
angles (deg): 90.00 90.00 120.00
With the nearest neighbours (Å) after each atom.
Space group R3m (No. 160, hexagonal axes)
Symmetry-distinct sites (fractional):
La (0.0000, 0.0000, 0.0000) (multiplicity 3)  3 Ge 3.05, 3 Se 3.24
La (0.0000, 0.0000, 0.1785) (multiplicity 3)  3 Ge 3.05, 3 Se 3.17
Ge (0.0000, 0.0000, 0.5890) (multiplicity 3)  6 La 3.05
Se (0.0000, 0.0000, 0.7584) (multiplicity 3)  6 La 3.17-3.24



no.,theoretical density (g/cm³)
1,5.7
2,8.2
3,5.9
4,5.4
5,5.4
6,7.5
7,12.3
8,5.9
9,11.7
10,3.3
11,4.1
12,13.9
13,5.9